(1)
The following is a meta-GGA SCAN calculation of MnGaIr2 at its PBEsol-relaxed geometry, from Alexandria via LeMat-Bulk.

Cell: 4.2291 4.2291 3.0338 Å, 90.00 90.00 90.00°
Space group P4/mmm (No. 123)
Symmetry-distinct sites (fractional):
Mn: 0.0000 0.0000 0.0000
Ga: 0.5000 0.5000 0.0000
Ir: 0.0000 0.5000 0.5000

Properties
crystal system = tetragonal
formation enthalpy at 0 K = -0.54 eV per atom

---

(2)
The following is a meta-GGA SCAN calculation of Mn2GaIr2 at its PBEsol-relaxed geometry, from Alexandria via LeMat-Bulk.

Cell: 3.1581 3.1581 13.3128 Å, 90.00 90.00 90.00°
Space group I4/mmm (No. 139)
Symmetry-distinct sites (fractional):
Mn: 0.0000 0.5000 0.2500
Ga: 0.0000 0.0000 0.0000
Ir: 0.0000 0.0000 0.3970

Properties
crystal system = tetragonal
formation enthalpy at 0 K = 0.13 eV per atom

---

(3)
The following is a meta-GGA SCAN calculation of MnGaIr2Os at its PBEsol-relaxed geometry, from Alexandria via LeMat-Bulk.

Cell: 4.3899 4.3899 4.3082 Å, 90.00 90.00 90.00°
Space group P4/mmm (No. 123)
Symmetry-distinct sites (fractional):
Mn: 0.0000 0.0000 0.0000
Ga: 0.0000 0.0000 0.5000
Ir: 0.0000 0.5000 0.5000
Os: 0.5000 0.5000 0.0000

Properties
crystal system = tetragonal
formation enthalpy at 0 K = 1.47 eV per atom

---

(4)
The following is a meta-GGA SCAN calculation of MnGa2IrPb at its PBEsol-relaxed geometry, from Alexandria via LeMat-Bulk.

Cell: 4.4985 4.4985 4.9196 Å, 90.00 90.00 90.00°
Space group P4/mmm (No. 123)
Symmetry-distinct sites (fractional):
Mn: 0.0000 0.0000 0.0000
Ga: 0.0000 0.5000 0.0000
Ir: 0.5000 0.5000 0.5000
Pb: 0.0000 0.0000 0.5000

Properties
crystal system = tetragonal
formation enthalpy at 0 K = 0.85 eV per atom

---

(5)
The following is a meta-GGA SCAN calculation of MnGaIr2Pt at its PBEsol-relaxed geometry, from Alexandria via LeMat-Bulk.

Cell: 4.4357 4.4357 4.3736 Å, 90.00 90.00 90.00°
Space group P4/mmm (No. 123)
Symmetry-distinct sites (fractional):
Mn: 0.0000 0.0000 0.0000
Ga: 0.0000 0.0000 0.5000
Ir: 0.0000 0.5000 0.5000
Pt: 0.5000 0.5000 0.0000

Properties
crystal system = tetragonal
formation enthalpy at 0 K = 1.05 eV per atom

---

(6)
The following is a meta-GGA SCAN calculation of GaMoIr3 at its PBEsol-relaxed geometry, from Alexandria via LeMat-Bulk.

Cell: 4.6692 4.6692 4.6692 Å, 90.00 90.00 90.00°
Space group Pm-3m (No. 221)
Symmetry-distinct sites (fractional):
Ga: 0.0000 0.0000 0.0000
Mo: 0.5000 0.5000 0.5000
Ir: 0.0000 0.5000 0.5000

Properties
crystal system = cubic
formation enthalpy at 0 K = 1.74 eV per atom

---

(7)
The following is a meta-GGA SCAN calculation of Ga2NiMoIr at its PBEsol-relaxed geometry, from Alexandria via LeMat-Bulk.

Cell: 4.6039 4.6039 4.7844 Å, 90.00 90.00 90.00°
Space group P4/mmm (No. 123)
Symmetry-distinct sites (fractional):
Ga: 0.0000 0.5000 0.0000
Ni: 0.0000 0.0000 0.5000
Mo: 0.5000 0.5000 0.5000
Ir: 0.5000 0.5000 0.0000

Properties
crystal system = tetragonal
formation enthalpy at 0 K = 0.87 eV per atom

---

(8)
The following is a meta-GGA SCAN calculation of GaIrNO2 at its PBEsol-relaxed geometry, from Alexandria via LeMat-Bulk.

Cell: 3.9596 3.9596 3.7364 Å, 90.00 90.00 90.00°
Space group P4/mmm (No. 123)
Symmetry-distinct sites (fractional):
Ga: 0.0000 0.0000 0.0000
Ir: 0.5000 0.5000 0.5000
N: 0.5000 0.5000 0.0000
O: 0.0000 0.5000 0.5000

Properties
formation energy (no corrections) = 0.05 eV per atom
crystal system = tetragonal

---

(9)
The following is a meta-GGA SCAN calculation of GaIrN2O at its PBEsol-relaxed geometry, from Alexandria via LeMat-Bulk.

Cell: 3.7701 3.7701 4.1788 Å, 90.00 90.00 90.00°
Space group P4/mmm (No. 123)
Symmetry-distinct sites (fractional):
Ga: 0.0000 0.0000 0.0000
Ir: 0.5000 0.5000 0.5000
N: 0.0000 0.5000 0.5000
O: 0.5000 0.5000 0.0000

Properties
formation energy (no corrections) = 0.66 eV per atom
crystal system = tetragonal

---

(10)
The following is a meta-GGA SCAN calculation of Ga2ReIrN at its PBEsol-relaxed geometry, from Alexandria via LeMat-Bulk.

Cell: 4.6663 4.6663 4.7863 Å, 90.00 90.00 90.00°
Space group P4/mmm (No. 123)
Symmetry-distinct sites (fractional):
Ga: 0.0000 0.5000 0.0000
Re: 0.0000 0.0000 0.5000
Ir: 0.0000 0.0000 0.0000
N: 0.5000 0.5000 0.5000

Properties
formation energy (no corrections) = 1.60 eV per atom
crystal system = tetragonal

---

(11)
The following is a meta-GGA SCAN calculation of GaIrSN2 at its PBEsol-relaxed geometry, from Alexandria via LeMat-Bulk.

Cell: 3.6866 3.6866 4.9246 Å, 90.00 90.00 90.00°
Space group P4/mmm (No. 123)
Symmetry-distinct sites (fractional):
Ga: 0.0000 0.0000 0.0000
Ir: 0.5000 0.5000 0.5000
S: 0.0000 0.0000 0.5000
N: 0.0000 0.5000 0.0000

Properties
formation energy (no corrections) = 1.63 eV per atom
crystal system = tetragonal

---

(12)
The following is a meta-GGA SCAN calculation of Na2GaIr at its PBEsol-relaxed geometry, from Alexandria via LeMat-Bulk.

Cell: 3.6572 3.6572 21.1400 Å, 90.00 90.00 90.00°
Space group I-42d (No. 122)
Symmetry-distinct sites (fractional):
Na: 0.2461 0.2500 0.1250
Ga: 0.0000 0.0000 0.5000
Ir: 0.0000 0.0000 0.0000

Properties
crystal system = tetragonal
formation enthalpy at 0 K = 0.23 eV per atom

---

(13)
The following is a meta-GGA SCAN calculation of Na2GaIrOs at its PBEsol-relaxed geometry, from Alexandria via LeMat-Bulk.

Cell: 5.1531 5.1531 4.6316 Å, 90.00 90.00 90.00°
Space group P4/mmm (No. 123)
Symmetry-distinct sites (fractional):
Na: 0.0000 0.5000 0.0000
Ga: 0.0000 0.0000 0.5000
Ir: 0.0000 0.0000 0.0000
Os: 0.5000 0.5000 0.5000

Properties
crystal system = tetragonal
formation enthalpy at 0 K = 1.57 eV per atom

---

(14)
The following is a meta-GGA SCAN calculation of NbGa2Ir at its PBEsol-relaxed geometry, from Alexandria via LeMat-Bulk.

Cell: 6.2148 6.2148 6.2148 Å, 90.00 90.00 90.00°
Space group Fm-3m (No. 225)
Symmetry-distinct sites (fractional):
Nb: 0.0000 0.0000 0.0000
Ga: 0.2500 0.2500 0.2500
Ir: 0.0000 0.0000 0.5000

Properties
crystal system = cubic
formation enthalpy at 0 K = -0.29 eV per atom

---

(15)
The following is a meta-GGA SCAN calculation of ScGaNi2Ir at its PBEsol-relaxed geometry, from Alexandria via LeMat-Bulk.

Cell: 4.5407 4.5407 4.5295 Å, 90.00 90.00 90.00°
Space group P4/mmm (No. 123)
Symmetry-distinct sites (fractional):
Sc: 0.0000 0.0000 0.0000
Ga: 0.5000 0.5000 0.0000
Ni: 0.0000 0.5000 0.5000
Ir: 0.5000 0.5000 0.5000

Properties
crystal system = tetragonal
formation enthalpy at 0 K = 0.35 eV per atom

---

(16)
The following is a meta-GGA SCAN calculation of Ga2TcNiIr at its PBEsol-relaxed geometry, from Alexandria via LeMat-Bulk.

Cell: 4.5824 4.5824 4.5719 Å, 90.00 90.00 90.00°
Space group P4/mmm (No. 123)
Symmetry-distinct sites (fractional):
Ga: 0.0000 0.5000 0.0000
Tc: 0.0000 0.0000 0.5000
Ni: 0.5000 0.5000 0.5000
Ir: 0.5000 0.5000 0.0000

Properties
crystal system = tetragonal
formation enthalpy at 0 K = 0.86 eV per atom

---

(17)
The following is a meta-GGA SCAN calculation of GaIrO2 at its PBEsol-relaxed geometry, from Alexandria via LeMat-Bulk.

Cell: 3.1622 3.1622 18.1116 Å, 90.00 90.00 120.00°
Space group R-3m (No. 166, hexagonal axes)
Symmetry-distinct sites (fractional):
Ga: 0.0000 0.0000 0.0000
Ir: 0.0000 0.0000 0.5000
O: 0.0000 0.0000 0.1156

Properties
formation energy (no corrections) = -0.62 eV per atom
crystal system = trigonal

---

(18)
The following is a meta-GGA SCAN calculation of GaTcIr2O at its PBEsol-relaxed geometry, from Alexandria via LeMat-Bulk.

Cell: 4.7378 4.7378 3.4333 Å, 90.00 90.00 90.00°
Space group P4/mmm (No. 123)
Symmetry-distinct sites (fractional):
Ga: 0.0000 0.0000 0.0000
Tc: 0.5000 0.5000 0.5000
Ir: 0.0000 0.5000 0.0000
O: 0.0000 0.0000 0.5000

Properties
formation energy (no corrections) = 1.09 eV per atom
crystal system = tetragonal

---

(19)
The following is a meta-GGA SCAN calculation of GaIr3Os at its PBEsol-relaxed geometry, from Alexandria via LeMat-Bulk.

Cell: 4.7039 4.7039 4.7039 Å, 90.00 90.00 90.00°
Space group Pm-3m (No. 221)
Symmetry-distinct sites (fractional):
Ga: 0.0000 0.0000 0.0000
Ir: 0.0000 0.5000 0.5000
Os: 0.5000 0.5000 0.5000

Properties
crystal system = cubic
formation enthalpy at 0 K = 1.84 eV per atom

---

(20)
The following is a meta-GGA SCAN calculation of GaPIr2 at its PBEsol-relaxed geometry, from Alexandria via LeMat-Bulk.

Cell: 6.0204 6.0204 6.0204 Å, 90.00 90.00 90.00°
Space group Fm-3m (No. 225)
Symmetry-distinct sites (fractional):
Ga: 0.0000 0.0000 0.0000
P: 0.0000 0.0000 0.5000
Ir: 0.2500 0.2500 0.2500

Properties
crystal system = cubic
formation enthalpy at 0 K = 0.05 eV per atom

---

(21)
The following is a meta-GGA SCAN calculation of RbGa3Ir at its PBEsol-relaxed geometry, from Alexandria via LeMat-Bulk.

Cell: 4.8406 4.8406 4.8406 Å, 90.00 90.00 90.00°
Space group Pm-3m (No. 221)
Symmetry-distinct sites (fractional):
Rb: 0.0000 0.0000 0.0000
Ga: 0.0000 0.5000 0.5000
Ir: 0.5000 0.5000 0.5000

Properties
crystal system = cubic
formation enthalpy at 0 K = -0.36 eV per atom

---

(22)
The following is a meta-GGA SCAN calculation of GaRe2Ir2 at its PBEsol-relaxed geometry, from Alexandria via LeMat-Bulk.

Cell: 3.7453 3.7453 11.7892 Å, 90.00 90.00 90.00°
Space group I4/mmm (No. 139)
Symmetry-distinct sites (fractional):
Ga: 0.0000 0.0000 0.0000
Re: 0.0000 0.0000 0.3980
Ir: 0.0000 0.5000 0.2500

Properties
crystal system = tetragonal
formation enthalpy at 0 K = 0.42 eV per atom

---

(23)
The following is a meta-GGA SCAN calculation of GaIr3Rh at its PBEsol-relaxed geometry, from Alexandria via LeMat-Bulk.

Cell: 4.4198 4.4198 4.4198 Å, 90.00 90.00 90.00°
Space group Pm-3m (No. 221)
Symmetry-distinct sites (fractional):
Ga: 0.0000 0.0000 0.0000
Ir: 0.0000 0.0000 0.5000
Rh: 0.5000 0.5000 0.5000

Properties
crystal system = cubic
formation enthalpy at 0 K = 1.65 eV per atom

---

(24)
The following is a meta-GGA SCAN calculation of GaSbIr3 at its PBEsol-relaxed geometry, from Alexandria via LeMat-Bulk.

Cell: 4.5408 4.5408 4.5408 Å, 90.00 90.00 90.00°
Space group Pm-3m (No. 221)
Symmetry-distinct sites (fractional):
Ga: 0.0000 0.0000 0.0000
Sb: 0.5000 0.5000 0.5000
Ir: 0.0000 0.0000 0.5000

Properties
formation energy (no corrections) = 1.22 eV per atom
crystal system = cubic

---

(25)
The following is a meta-GGA SCAN calculation of Sc6Ga16Ir7 at its PBEsol-relaxed geometry, from Alexandria via LeMat-Bulk.

Cell: 12.2974 12.2974 12.2974 Å, 90.00 90.00 90.00°
Space group Fm-3m (No. 225)
Symmetry-distinct sites (fractional):
Sc: 0.0000 0.0000 0.2217
Ga: 0.1241 0.1241 0.3759
Ga: 0.1541 0.1541 0.1541
Ir: 0.0000 0.0000 0.5000
Ir: 0.0000 0.2500 0.2500

Properties
crystal system = cubic
formation enthalpy at 0 K = -0.80 eV per atom

---

(26)
The following is a meta-GGA SCAN calculation of Sc2Ga2Ir at its PBEsol-relaxed geometry, from Alexandria via LeMat-Bulk.

Cell: 6.6312 6.6312 3.8528 Å, 90.00 90.00 90.00°
Space group P4/mbm (No. 127)
Symmetry-distinct sites (fractional):
Sc: 0.1750 0.3250 0.0000
Ga: 0.1311 0.6311 0.5000
Ir: 0.0000 0.0000 0.5000

Properties
crystal system = tetragonal
formation enthalpy at 0 K = -0.88 eV per atom

---

(27)
The following is a meta-GGA SCAN calculation of ScGa2TcIr at its PBEsol-relaxed geometry, from Alexandria via LeMat-Bulk.

Cell: 4.7538 4.7538 4.2319 Å, 90.00 90.00 90.00°
Space group P4/mmm (No. 123)
Symmetry-distinct sites (fractional):
Sc: 0.0000 0.0000 0.0000
Ga: 0.0000 0.5000 0.0000
Tc: 0.0000 0.0000 0.5000
Ir: 0.5000 0.5000 0.5000

Properties
crystal system = tetragonal
formation enthalpy at 0 K = 1.71 eV per atom

---

no.,calculated volume (Å³/cell),energy (eV/cell)
1,54,-178.97
2,133,-388.84
3,83,-241.33
4,100,-193.56
5,86,-241.75
6,102,-255.83
7,101,-150.48
8,59,-108.96
9,59,-108.95
10,104,-176.19
11,67,-107.51
12,283,-379.88
13,123,-159.88
14,240,-552.26
15,93,-132.30
16,96,-150.71
17,157,-307.19
18,77,-194.38
19,104,-292.32
20,218,-674.95
21,113,-142.66
22,165,-597.31
23,86,-255.16
24,94,-260.79
25,1860,-3470.90
26,169,-273.30
27,96,-144.53